1.
5
Lattice="5.5358 0.0000 0.0000 0.0000 5.5358 0.0000 0.0000 0.0000 5.4856" Properties=species:S:1:pos:R:3 comment="Na2TlPbAu | Alexandria via LeMat-Bulk | PBE | optimized geometry" dos_at_fermi_per_ev_cell=3.015 final_energy_ev_per_atom=-2.4380 volume_a3_per_atom=33.62 spacegroup="No. 123" pbc="T T T"
Pb 0.0000 0.0000 2.7428
Na 0.0000 2.7679 0.0000
Na 2.7679 0.0000 0.0000
Tl 2.7679 2.7679 2.7428
Au 0.0000 0.0000 0.0000

***

2.
4
Lattice="-0.5040 4.9410 -1.5417 0.3416 1.1960 -5.0494 -4.2430 1.4888 -2.6123" Properties=species:S:1:pos:R:3 comment="NaTlPbAu | Alexandria via LeMat-Bulk | PBE | optimized geometry" dos_at_fermi_per_ev_cell=2.761 de_polymorph_mev_per_atom=10 volume_a3_per_atom=24.86 spacegroup="No. 216" pbc="T T T"
Pb -3.3041 5.7193 -6.9026
Na -2.2027 3.8129 -4.6017
Tl -1.1014 1.9064 -2.3009
Au 0.0000 0.0000 0.0000

***

3.
4
Lattice="-3.5999 -3.3364 -1.5214 1.0506 -5.0282 -0.1374 -2.1692 -3.1722 3.4113" Properties=species:S:1:pos:R:3 comment="NaTmPbAu | Alexandria via LeMat-Bulk | PBE | optimized geometry" dos_at_fermi_per_ev_cell=2.974 final_energy_ev_per_atom=-3.5948 volume_a3_per_atom=23.99 spacegroup="No. 216" pbc="T T T"
Pb 0.0000 0.0000 0.0000
Na -3.5388 -8.6526 1.3144
Tm -1.1796 -2.8842 0.4381
Au -2.3592 -5.7684 0.8763

***

4.
4
Lattice="-1.3417 3.8497 -3.2058 -4.0103 3.0724 1.1727 0.8273 4.9305 1.3795" Properties=species:S:1:pos:R:3 comment="NaYPbAu | Alexandria via LeMat-Bulk | PBE | optimized geometry" dos_at_fermi_per_ev_cell=3.109 final_energy_ev_per_atom=-4.1252 volume_a3_per_atom=24.66 spacegroup="No. 216" pbc="T T T"
Pb -2.2623 5.9263 -0.3268
Y -3.3935 8.8894 -0.4902
Au 0.0000 0.0000 0.0000
Na -1.1312 2.9631 -0.1634